# 1
RbZrOsCl2: optimized geometry, GGA-PBE.

Lattice parameters (Å, degrees): 5.3181 5.3181 5.0117 90.00 90.00 90.00
Last column: nearest neighbours and their distance in Å.
Space group P4/mmm (No. 123)
Unique sites:
Rb: 0.0000 0.0000 0.0000 x1  8 Cl 3.65, 4 Os 3.76
Zr: 0.5000 0.5000 0.5000 x1  2 Os 2.51, 4 Cl 2.66
Os: 0.5000 0.5000 0.0000 x1  2 Zr 2.51
Cl: 0.0000 0.5000 0.5000 x2  2 Zr 2.66

Values from the calculation:
Final energy in eV/atom: -5.131
Energy above the most stable polymorph in this dataset in eV/atom: 0.000
D(E_F) in states/eV/f.u.: 1.4
Mass density in g/cm³: 5.1


# 2
RbZrOsCl2: optimized geometry, GGA-PBE.

Lattice parameters (Å, degrees): 5.0407 5.0407 8.5956 90.00 90.00 90.00
Last column: nearest neighbours and their distance in Å.
Space group P4/mmm (No. 123)
Unique sites:
Rb: 0.0000 0.0000 0.0000 x1  4 Os 3.56
Zr: 0.0000 0.0000 0.5000 x1  4 Cl 2.52
Os: 0.5000 0.5000 0.0000 x1  4 Rb 3.56
Cl: 0.0000 0.5000 0.5000 x2  2 Zr 2.52

Values from the calculation:
Final energy in eV/atom: -4.168
Energy above the most stable polymorph in this dataset in eV/atom: 0.963
D(E_F) in states/eV/f.u.: 9.4
Mass density in g/cm³: 3.3


# 3
ReOs2Cl: optimized geometry, GGA-PBE.

Lattice parameters (Å, degrees): 6.2312 6.2312 6.2312 90.00 90.00 90.00
Last column: nearest neighbours and their distance in Å.
Space group Fm-3m (No. 225)
Unique sites:
Re: 0.0000 0.0000 0.0000 x4  8 Os 2.70
Os: 0.2500 0.2500 0.2500 x8  4 Cl 2.70, 4 Re 2.70
Cl: 0.0000 0.0000 0.5000 x4  8 Os 2.70

Values from the calculation:
Final energy in eV/atom: -7.932
Energy above the most stable polymorph in this dataset in eV/atom: 0.718
D(E_F) in states/eV/f.u.: 3.4
Mass density in g/cm³: 16.5


# 4
ReOsCl: optimized geometry, GGA-PBE.

Lattice parameters (Å, degrees): 2.8108 4.9932 13.6919 90.00 90.00 90.00
Last column: nearest neighbours and their distance in Å.
Space group Fmm2 (No. 42)
Unique sites:
Re: 0.0000 0.0000 0.0000 x4  2 Os 2.54, 2 Cl 2.62, 2 Re 2.81
Os: 0.0000 0.0000 0.6543 x4  2 Re 2.54, 2 Os 2.81
Cl: 0.0000 0.0000 0.3387 x4  2 Re 2.62, 6 Cl 2.81-2.86, 2 Os 2.89

Values from the calculation:
Final energy in eV/atom: -7.701
Energy above the most stable polymorph in this dataset in eV/atom: 0.351
D(E_F) in states/eV/f.u.: 3.4
Mass density in g/cm³: 14.2